Entry 1:
Density functional theory data (GGA-PBE) for an optimized crystal structure of Na4TbIn3Se8.

Summary:
**Raw total energy**: -186.49 eV for the cell shown
**Formation energy without anion corrections**: -1.010 eV per atom

Structure (CIF):
```
data_Na4TbIn3Se8
_chemical_formula_sum 'Na12 Tb3 In9 Se24'
_space_group_name_H-M_alt 'R -3 m'
_space_group_IT_number 166
_space_group_name_Hall '-R 3 2"'
_cell_length_a 8.1289
_cell_length_b 8.1289
_cell_length_c 21.1994
_cell_angle_alpha 90.00
_cell_angle_beta 90.00
_cell_angle_gamma 120.00
loop_
_atom_site_label
_atom_site_type_symbol
_atom_site_fract_x
_atom_site_fract_y
_atom_site_fract_z
Na1 Na 0.0000 0.0000 0.0000
Na2 Na 0.0000 0.5000 0.0000
Tb1 Tb 0.0000 0.0000 0.5000
In1 In 0.0000 0.5000 0.5000
Se1 Se 0.0000 0.0000 0.2385
Se2 Se 0.0063 0.5032 0.7574
```

=====

Entry 2:
Density functional theory data (GGA-PBE) for an optimized crystal structure of Na3Tb3InSe8.

Summary:
**Raw total energy**: -138.17 eV for the cell shown
**Formation energy without anion corrections**: -1.375 eV per atom

Structure (CIF):
```
data_Na3Tb3InSe8
_chemical_formula_sum 'Na6 Tb6 In2 Se16'
_space_group_name_H-M_alt 'C 1 2/m 1'
_space_group_IT_number 12
_space_group_name_Hall '-C 2y'
_cell_length_a 14.2243
_cell_length_b 8.1988
_cell_length_c 8.5497
_cell_angle_alpha 90.00
_cell_angle_beta 123.71
_cell_angle_gamma 90.00
loop_
_atom_site_label
_atom_site_type_symbol
_atom_site_fract_x
_atom_site_fract_y
_atom_site_fract_z
Na1 Na 0.0000 0.0000 0.0000
Na2 Na 0.2500 0.2500 0.0000
Tb1 Tb 0.0000 0.5000 0.5000
Tb2 Tb 0.2500 0.2500 0.5000
In1 In 0.0000 0.0000 0.5000
Se1 Se 0.0060 0.2450 0.2731
Se2 Se 0.2390 0.0000 0.7270
Se3 Se 0.2435 0.5000 0.7305
```

=====

Entry 3:
Density functional theory data (GGA-PBE) for an optimized crystal structure of NaInTc2Se.

Summary:
**Raw total energy**: -23.66 eV for the cell shown
**Formation energy without anion corrections**: 0.923 eV per atom

Structure (CIF):
```
data_NaInTc2Se
_chemical_formula_sum 'Na1 In1 Tc2 Se1'
_space_group_name_H-M_alt 'P 4/m m m'
_space_group_IT_number 123
_space_group_name_Hall '-P 4 2'
_cell_length_a 4.6469
_cell_length_b 4.6469
_cell_length_c 5.7169
_cell_angle_alpha 90.00
_cell_angle_beta 90.00
_cell_angle_gamma 90.00
loop_
_atom_site_label
_atom_site_type_symbol
_atom_site_fract_x
_atom_site_fract_y
_atom_site_fract_z
Na1 Na 0.0000 0.0000 0.0000
In1 In 0.5000 0.5000 0.0000
Tc1 Tc 0.0000 0.5000 0.5000
Se1 Se 0.5000 0.5000 0.5000
```

=====

Entry 4:
Density functional theory data (GGA-PBE) for an optimized crystal structure of NaInTe2Se.

Summary:
**Raw total energy**: -14.58 eV for the cell shown
**Formation energy without anion corrections**: -0.152 eV per atom

Structure (CIF):
```
data_NaInTe2Se
_chemical_formula_sum 'Na1 In1 Te2 Se1'
_space_group_name_H-M_alt 'P 4/m m m'
_space_group_IT_number 123
_space_group_name_Hall '-P 4 2'
_cell_length_a 5.6822
_cell_length_b 5.6822
_cell_length_c 5.2481
_cell_angle_alpha 90.00
_cell_angle_beta 90.00
_cell_angle_gamma 90.00
loop_
_atom_site_label
_atom_site_type_symbol
_atom_site_fract_x
_atom_site_fract_y
_atom_site_fract_z
Na1 Na 0.0000 0.0000 0.0000
In1 In 0.5000 0.5000 0.0000
Te1 Te 0.0000 0.5000 0.5000
Se1 Se 0.0000 0.0000 0.5000
```

=====

Entry 5:
Density functional theory data (GGA-PBE) for an optimized crystal structure of Na2InTeSe.

Summary:
**Raw total energy**: -12.83 eV for the cell shown
**Formation energy without anion corrections**: -0.166 eV per atom

Structure (CIF):
```
data_Na2InTeSe
_chemical_formula_sum 'Na2 In1 Te1 Se1'
_space_group_name_H-M_alt 'P 4/m m m'
_space_group_IT_number 123
_space_group_name_Hall '-P 4 2'
_cell_length_a 5.6501
_cell_length_b 5.6501
_cell_length_c 5.8254
_cell_angle_alpha 90.00
_cell_angle_beta 90.00
_cell_angle_gamma 90.00
loop_
_atom_site_label
_atom_site_type_symbol
_atom_site_fract_x
_atom_site_fract_y
_atom_site_fract_z
Na1 Na 0.0000 0.5000 0.0000
In1 In 0.0000 0.0000 0.5000
Te1 Te 0.5000 0.5000 0.0000
Se1 Se 0.5000 0.5000 0.5000
```

=====

Entry 6:
Density functional theory data (GGA-PBE) for an optimized crystal structure of Na2ThInSe4.

Summary:
**Raw total energy**: -36.35 eV for the cell shown
**Formation energy without anion corrections**: -1.202 eV per atom

Structure (CIF):
```
data_Na2ThInSe4
_chemical_formula_sum 'Na2 Th1 In1 Se4'
_space_group_name_H-M_alt 'P 1 2/m 1'
_space_group_IT_number 10
_space_group_name_Hall '-P 2y'
_cell_length_a 7.3444
_cell_length_b 4.2536
_cell_length_c 7.4538
_cell_angle_alpha 90.00
_cell_angle_beta 109.17
_cell_angle_gamma 90.00
loop_
_atom_site_label
_atom_site_type_symbol
_atom_site_fract_x
_atom_site_fract_y
_atom_site_fract_z
Na1 Na 0.0000 0.0000 0.0000
Na2 Na 0.0000 0.5000 0.5000
Th1 Th 0.5000 0.0000 0.5000
In1 In 0.5000 0.5000 0.0000
Se1 Se 0.2654 0.5000 0.2602
Se2 Se 0.2690 0.0000 0.7498
```

=====

Entry 7:
Density functional theory data (GGA-PBE) for an optimized crystal structure of Na4TiIn3Se8.

Summary:
**Raw total energy**: -190.04 eV for the cell shown
**Formation energy without anion corrections**: -0.880 eV per atom

Structure (CIF):
```
data_Na4TiIn3Se8
_chemical_formula_sum 'Na12 Ti3 In9 Se24'
_space_group_name_H-M_alt 'R -3 m'
_space_group_IT_number 166
_space_group_name_Hall '-R 3 2"'
_cell_length_a 8.0068
_cell_length_b 8.0068
_cell_length_c 20.9514
_cell_angle_alpha 90.00
_cell_angle_beta 90.00
_cell_angle_gamma 120.00
loop_
_atom_site_label
_atom_site_type_symbol
_atom_site_fract_x
_atom_site_fract_y
_atom_site_fract_z
Na1 Na 0.0000 0.0000 0.0000
Na2 Na 0.0000 0.5000 0.0000
Ti1 Ti 0.0000 0.0000 0.5000
In1 In 0.0000 0.5000 0.5000
Se1 Se 0.0000 0.0000 0.2412
Se2 Se 0.0167 0.5083 0.2386
```

=====

Entry 8:
Density functional theory data (GGA-PBE) for an optimized crystal structure of Na2TiInSe5.

Summary:
**Raw total energy**: -152.26 eV for the cell shown
**Formation energy without anion corrections**: -0.819 eV per atom

Structure (CIF):
```
data_Na2TiInSe5
_chemical_formula_sum 'Na8 Ti4 In4 Se20'
_space_group_name_H-M_alt 'C m c 21'
_space_group_IT_number 36
_space_group_name_Hall 'C 2c -2'
_cell_length_a 3.7220
_cell_length_b 17.7372
_cell_length_c 14.1558
_cell_angle_alpha 90.00
_cell_angle_beta 90.00
_cell_angle_gamma 90.00
loop_
_atom_site_label
_atom_site_type_symbol
_atom_site_fract_x
_atom_site_fract_y
_atom_site_fract_z
Na1 Na 0.0000 0.0951 0.0000
Na2 Na 0.0000 0.1351 0.6539
Ti1 Ti 0.0000 0.2319 0.3862
In1 In 0.0000 0.4366 0.7739
Se1 Se 0.0000 0.0714 0.4026
Se2 Se 0.0000 0.2696 0.0086
Se3 Se 0.0000 0.2870 0.7537
Se4 Se 0.0000 0.3639 0.3421
Se5 Se 0.0000 0.4977 0.1143
```

=====

Entry 9:
Density functional theory data (GGA-PBE) for an optimized crystal structure of Na2TlInSe4.

Summary:
**Raw total energy**: -54.46 eV for the cell shown
**Formation energy without anion corrections**: -0.694 eV per atom

Structure (CIF):
```
data_Na2TlInSe4
_chemical_formula_sum 'Na4 Tl2 In2 Se8'
_space_group_name_H-M_alt 'I -4'
_space_group_IT_number 82
_space_group_name_Hall 'I -4'
_cell_length_a 6.7664
_cell_length_b 6.7664
_cell_length_c 11.3114
_cell_angle_alpha 90.00
_cell_angle_beta 90.00
_cell_angle_gamma 90.00
loop_
_atom_site_label
_atom_site_type_symbol
_atom_site_fract_x
_atom_site_fract_y
_atom_site_fract_z
Na1 Na 0.0000 0.0000 0.0000
Na2 Na 0.0000 0.5000 0.2500
Tl1 Tl 0.0000 0.5000 0.7500
In1 In 0.0000 0.0000 0.5000
Se1 Se 0.2205 0.2448 0.6220
```

=====

Entry 10:
Density functional theory data (GGA-PBE) for an optimized crystal structure of NaTl2In2Se4.

Summary:
**Raw total energy**: -60.33 eV for the cell shown
**Formation energy without anion corrections**: -0.522 eV per atom

Structure (CIF):
```
data_NaTl2In2Se4
_chemical_formula_sum 'Na2 Tl4 In4 Se8'
_space_group_name_H-M_alt 'C 1 2/m 1'
_space_group_IT_number 12
_space_group_name_Hall '-C 2y'
_cell_length_a 16.1686
_cell_length_b 4.6969
_cell_length_c 7.6209
_cell_angle_alpha 90.00
_cell_angle_beta 105.30
_cell_angle_gamma 90.00
loop_
_atom_site_label
_atom_site_type_symbol
_atom_site_fract_x
_atom_site_fract_y
_atom_site_fract_z
Na1 Na 0.0000 0.0000 0.0000
Tl1 Tl 0.1165 0.0000 0.5563
In1 In 0.1664 0.5000 0.0080
Se1 Se 0.0258 0.5000 0.7476
Se2 Se 0.2080 0.0000 0.1885
```

=====

Entry 11:
Density functional theory data (GGA-PBE) for an optimized crystal structure of Na4TmIn3Se8.

Summary:
**Raw total energy**: -186.10 eV for the cell shown
**Formation energy without anion corrections**: -1.012 eV per atom

Structure (CIF):
```
data_Na4TmIn3Se8
_chemical_formula_sum 'Na12 Tm3 In9 Se24'
_space_group_name_H-M_alt 'R -3 m'
_space_group_IT_number 166
_space_group_name_Hall '-R 3 2"'
_cell_length_a 8.0978
_cell_length_b 8.0978
_cell_length_c 21.1680
_cell_angle_alpha 90.00
_cell_angle_beta 90.00
_cell_angle_gamma 120.00
loop_
_atom_site_label
_atom_site_type_symbol
_atom_site_fract_x
_atom_site_fract_y
_atom_site_fract_z
Na1 Na 0.0000 0.0000 0.0000
Na2 Na 0.0000 0.5000 0.0000
Tm1 Tm 0.0000 0.0000 0.5000
In1 In 0.0000 0.5000 0.5000
Se1 Se 0.0000 0.0000 0.2388
Se2 Se 0.0026 0.5013 0.7580
```

=====

Entry 12:
Density functional theory data (GGA-PBE) for an optimized crystal structure of Na2TmInSe4.

Summary:
**Raw total energy**: -33.64 eV for the cell shown
**Formation energy without anion corrections**: -1.232 eV per atom

Structure (CIF):
```
data_Na2TmInSe4
_chemical_formula_sum 'Na2 Tm1 In1 Se4'
_space_group_name_H-M_alt 'P 1 2/m 1'
_space_group_IT_number 10
_space_group_name_Hall '-P 2y'
_cell_length_a 7.0630
_cell_length_b 4.0570
_cell_length_c 7.4350
_cell_angle_alpha 90.00
_cell_angle_beta 108.74
_cell_angle_gamma 90.00
loop_
_atom_site_label
_atom_site_type_symbol
_atom_site_fract_x
_atom_site_fract_y
_atom_site_fract_z
Na1 Na 0.0000 0.0000 0.0000
Na2 Na 0.5000 0.5000 0.0000
Tm1 Tm 0.0000 0.5000 0.5000
In1 In 0.5000 0.0000 0.5000
Se1 Se 0.2412 0.0000 0.7287
Se2 Se 0.2654 0.5000 0.2781
```